(1)
Compound: BeSbOs
Source: Alexandria via LeMat-Bulk
Functional: PBE-GGA
Structure: relaxed

a b c (Å): 4.885 4.885 4.885
angles (deg): 141.36 141.36 55.80
Positions (direct):
Os  0.361  0.361  0.000
Sb  0.669  0.669  0.000
Be  0.970  0.970  0.000

magnetization = 0.00 Bohr magnetons per cell
uncorrected formation energy = 0.284 eV/atom
crystal system = tetragonal
energy above the lowest structure with this stoichiometry = 0 meV/atom
symmetry = I4mm, No. 107
VASP energy = -18.23 eV for the cell shown

***

(2)
Compound: TmCu3Pd6
Source: Alexandria via LeMat-Bulk
Functional: PBE-GGA
Structure: relaxed

a b c (Å): 4.474 7.464 9.779
angles (deg): 110.21 90.00 90.00
Positions (direct):
Cu  0.750  0.257  0.978
Cu  0.750  0.483  0.585
Cu  0.250  0.343  0.835
Cu  0.750  0.657  0.165
Cu  0.250  0.743  0.022
Cu  0.250  0.517  0.415
Pd  0.750  0.187  0.691
Pd  0.750  0.556  0.887
Pd  0.750  0.373  0.269
Pd  0.750  0.857  0.776
Pd  0.250  0.627  0.731
Pd  0.250  0.050  0.928
Pd  0.750  0.950  0.072
Pd  0.250  0.261  0.540
Pd  0.250  0.143  0.224
Pd  0.250  0.813  0.309
Pd  0.750  0.739  0.460
Pd  0.250  0.444  0.113
Tm  0.750  0.071  0.376
Tm  0.250  0.929  0.624

magnetization = 0.00 Bohr magnetons per cell
crystal system = monoclinic
DFT formation energy = -0.37 eV/atom
symmetry = P2_1/m, No. 11
VASP energy = -103.27 eV for the cell shown

***

(3)
Compound: RbAg2Pt2
Source: Alexandria via LeMat-Bulk
Functional: PBE-GGA
Structure: relaxed

a b c (Å): 4.664 4.664 6.363
angles (deg): 68.50 68.50 90.00
Positions (direct):
Pt  0.384  0.384  0.233
Pt  0.616  0.616  0.767
Ag  0.750  0.250  0.500
Ag  0.250  0.750  0.500
Rb  0.000  0.000  0.000

magnetization = 0.00 Bohr magnetons per cell
crystal system = tetragonal
energy above the lowest structure with this stoichiometry = 86 meV/atom
DFT formation energy = 0.21 eV/atom
symmetry = I4/mmm, No. 139
VASP energy = -17.70 eV for the cell shown

***

(4)
Compound: Pm5PrNd5
Source: Alexandria via LeMat-Bulk
Functional: PBE-GGA
Structure: relaxed

a b c (Å): 7.090 8.682 9.817
angles (deg): 44.47 89.11 104.26
Positions (direct):
Nd  0.145  0.497  0.146
Nd  0.855  0.503  0.854
Nd  0.500  0.000  0.000
Nd  0.763  0.920  0.358
Nd  0.237  0.080  0.642
Pm  0.354  0.512  0.775
Pm  0.701  0.954  0.691
Pm  0.000  0.500  0.500
Pm  0.299  0.046  0.309
Pm  0.646  0.488  0.225
Pr  0.000  0.000  0.000

magnetization = 0.00 Bohr magnetons per cell
crystal system = triclinic
energy above the lowest structure with this stoichiometry = 0 meV/atom
DFT formation energy = 0.14 eV/atom
symmetry = P-1, No. 2
VASP energy = -50.88 eV for the cell shown

***

(5)
Compound: Tb5SmN6
Source: Alexandria via LeMat-Bulk
Functional: PBE-GGA
Structure: relaxed

a b c (Å): 6.084 6.084 6.085
angles (deg): 60.00 80.41 70.54
Positions (direct):
N  0.748  0.747  0.000
N  0.748  0.421  0.663
N  0.748  0.084  0.337
N  0.252  0.916  0.663
N  0.252  0.579  0.337
N  0.252  0.253  0.000
Sm  0.000  0.000  0.000
Tb  0.500  0.500  0.000
Tb  0.000  0.667  0.667
Tb  0.500  0.833  0.334
Tb  0.000  0.333  0.333
Tb  0.500  0.167  0.666

magnetization = 0.00 Bohr magnetons per cell
uncorrected formation energy = -1.630 eV/atom
crystal system = monoclinic
symmetry = C2/m, No. 12
VASP energy = -97.38 eV for the cell shown

***

(6)
Compound: Ta2CoP
Source: Alexandria via LeMat-Bulk
Functional: PBE-GGA
Structure: relaxed

a b c (Å): 5.224 5.224 4.339
angles (deg): 65.47 65.47 32.81
Positions (direct):
Ta  0.762  0.762  0.738
Ta  0.974  0.974  0.026
Co  0.538  0.538  0.462
P  0.225  0.225  0.275

magnetization = 0.01 Bohr magnetons per cell
crystal system = orthorhombic
DFT formation energy = -0.30 eV/atom
symmetry = Imm2, No. 44
VASP energy = -37.41 eV for the cell shown

***

(7)
Compound: PaZnNi3
Source: Alexandria via LeMat-Bulk
Functional: PBE-GGA
Structure: relaxed

a b c (Å): 6.533 5.981 5.981
angles (deg): 81.27 56.90 56.90
Positions (direct):
Zn  0.683  0.317  0.317
Zn  0.317  0.683  0.683
Pa  0.000  0.720  0.280
Pa  0.000  0.280  0.720
Ni  0.500  0.228  0.772
Ni  0.516  0.808  0.808
Ni  0.484  0.192  0.192
Ni  0.132  0.192  0.192
Ni  0.500  0.772  0.228
Ni  0.868  0.808  0.808

magnetization = 0.00 Bohr magnetons per cell
crystal system = orthorhombic
DFT formation energy = 0.02 eV/atom
symmetry = Immm, No. 71
VASP energy = -56.05 eV for the cell shown

***

(8)
Compound: PmNdPd
Source: Alexandria via LeMat-Bulk
Functional: PBE-GGA
Structure: relaxed

a b c (Å): 3.679 7.361 6.672
angles (deg): 105.99 106.01 90.07
Positions (direct):
Nd  0.578  0.621  0.923
Nd  0.300  0.483  0.366
Pm  0.580  0.123  0.926
Pm  0.298  0.981  0.363
Pd  0.939  0.811  0.645
Pd  0.939  0.293  0.643

magnetization = 1.80 Bohr magnetons per cell
crystal system = triclinic
energy above the lowest structure with this stoichiometry = 23 meV/atom
DFT formation energy = -0.45 eV/atom
symmetry = P-1, No. 2
VASP energy = -32.15 eV for the cell shown

***

The highest VASP energy belongs to which entry? RbAg2Pt2

***

Please write out number 6 again, unchanged.
Compound: Ta2CoP
Source: Alexandria via LeMat-Bulk
Functional: PBE-GGA
Structure: relaxed

a b c (Å): 5.224 5.224 4.339
angles (deg): 65.47 65.47 32.81
Positions (direct):
Ta  0.762  0.762  0.738
Ta  0.974  0.974  0.026
Co  0.538  0.538  0.462
P  0.225  0.225  0.275

magnetization = 0.01 Bohr magnetons per cell
crystal system = orthorhombic
DFT formation energy = -0.30 eV/atom
symmetry = Imm2, No. 44
VASP energy = -37.41 eV for the cell shown